First-principles (GGA-PBE) data for RbReOs3 after structural relaxation, as listed in Alexandria.

```
RbReOs3
1.0
-2.149 2.536 3.518
-2.628 -3.885 1.195
3.449 -1.380 3.102
Os Rb Re
3 1 1
direct
0.000 0.500 0.000
0.000 0.000 0.500
0.500 0.000 0.000
0.500 0.500 0.500
0.000 0.000 0.000
```

The value obtained for the density of states at the Fermi level is 1.49 states/eV per atom. Its polymorph energy (0 for the lowest one) is 0.0 meV/atom. As for the energy of formation from the pure elements: 2110 meV/atom. As for the density: 12.338 g/cm³. The calculation puts the total magnetic moment at 0.6 μB/cell.

---

First-principles (GGA-PBE) data for RbReOs3 after structural relaxation, as listed in Alexandria.

```
RbReOs3
1.0
4.592 0.000 0.000
0.000 4.592 0.000
0.000 0.000 4.592
Os Rb Re
3 1 1
direct
0.500 0.000 0.000
0.000 0.000 0.500
0.000 0.500 0.000
0.000 0.000 0.000
0.500 0.500 0.500
```

The value obtained for the density of states at the Fermi level is 2.67 states/eV per atom. Its polymorph energy (0 for the lowest one) is 2348.4 meV/atom. As for the energy of formation from the pure elements: 4458 meV/atom. As for the density: 14.442 g/cm³. The calculation puts the total magnetic moment at 0.0 μB/cell.

---

First-principles (GGA-PBE) data for RbRe2Os after structural relaxation, as listed in Alexandria.

```
RbRe2Os
1.0
-4.774 -5.480 -2.308
1.125 -3.739 6.549
-4.128 -3.125 3.364
Os Rb Re
2 2 4
direct
0.000 0.000 0.000
0.750 0.250 0.500
0.250 0.750 0.500
0.500 0.500 0.000
0.697 0.125 0.250
0.875 0.947 0.750
0.375 0.303 0.750
0.053 0.625 0.250
```

The value obtained for the density of states at the Fermi level is 1.69 states/eV per atom. Its polymorph energy (0 for the lowest one) is 3.7 meV/atom. As for the energy of formation from the pure elements: 1954 meV/atom. As for the density: 12.302 g/cm³. The calculation puts the total magnetic moment at 0.0 μB/cell.